No. 1
Material: CeAlW
Method: DFT, GGA-PBE
State: optimized geometry

Unit cell a=7.0230 b=7.0230 c=6.0010 alpha=90.00 beta=90.00 gamma=90.00
Fractional positions:
Ce  0.2201  0.2201  0.0000
Ce  0.2799  0.7201  0.2500
Ce  0.7201  0.2799  0.7500
Ce  0.7799  0.7799  0.5000
Al  0.2159  0.7841  0.7500
Al  0.2841  0.2841  0.5000
Al  0.7159  0.7159  0.0000
Al  0.7841  0.2159  0.2500
W  0.0283  0.0283  0.5000
W  0.4717  0.5283  0.7500
W  0.5283  0.4717  0.2500
W  0.9717  0.9717  0.0000

Results
Its space-group type is P4_12_12. For the electronic total energy, the calculation gives -85.849 eV for the cell shown. The calculation puts the magnetization at 0.00 μB/cell.

No. 2
Material: BeH3Br
Method: DFT, GGA-PBE
State: optimized geometry

Unit cell a=3.9003 b=3.9003 c=3.9003 alpha=90.00 beta=90.00 gamma=90.00
Fractional positions:
Be  0.0000  0.0000  0.0000
H  0.0000  0.5000  0.5000
H  0.5000  0.0000  0.5000
H  0.5000  0.5000  0.0000
Br  0.5000  0.5000  0.5000

Results
Its space-group type is Pm-3m. For the distance to the lowest polymorph of the same formula, the calculation gives 531 meV/atom. For the electronic total energy, the calculation gives -8.511 eV for the cell shown. The calculation puts the magnetization at 0.00 μB/cell.

No. 3
Material: Ce2Zn2Hg
Method: DFT, GGA-PBE
State: optimized geometry

Unit cell a=4.7801 b=7.4427 c=7.4547 alpha=90.00 beta=90.00 gamma=90.00
Fractional positions:
Ce  0.0000  0.0000  0.2332
Ce  0.0000  0.0000  0.7668
Ce  0.5000  0.5000  0.2332
Ce  0.5000  0.5000  0.7668
Zn  0.0000  0.3344  0.0000
Zn  0.0000  0.6656  0.0000
Zn  0.5000  0.1656  0.0000
Zn  0.5000  0.8344  0.0000
Hg  0.0000  0.5000  0.5000
Hg  0.5000  0.0000  0.5000

Results
Its space-group type is Cmmm. For the electronic total energy, the calculation gives -30.452 eV for the cell shown. The calculation puts the magnetization at 5.53 μB/cell.

No. 4
Material: Te2PdI
Method: DFT, GGA-PBE
State: optimized geometry

Unit cell a=4.1866 b=4.1866 c=17.3212 alpha=90.00 beta=90.00 gamma=120.00
Fractional positions:
Te  0.3333  0.6667  0.0755
Te  0.3333  0.6667  0.4245
Te  0.6667  0.3333  0.5755
Te  0.6667  0.3333  0.9245
Pd  0.0000  0.0000  0.0000
Pd  0.0000  0.0000  0.5000
I  0.3333  0.6667  0.2500
I  0.6667  0.3333  0.7500

Results
Its space-group type is P6_3/mmc. For the electronic total energy, the calculation gives -27.959 eV for the cell shown. The calculation puts the magnetization at 0.00 μB/cell. Its formation energy without anion corrections is -0.24 eV per atom.

No. 5
Material: ZrOs2Cl
Method: DFT, GGA-PBE
State: optimized geometry

Unit cell a=4.9150 b=10.2294 c=2.8384 alpha=90.00 beta=90.00 gamma=90.00
Fractional positions:
Zr  0.0000  0.0000  0.0000
Zr  0.5000  0.5000  0.0000
Os  0.2500  0.2500  0.5000
Os  0.2500  0.7500  0.5000
Os  0.7500  0.2500  0.5000
Os  0.7500  0.7500  0.5000
Cl  0.0000  0.5000  0.0000
Cl  0.5000  0.0000  0.0000

Results
Its space-group type is Cmmm. For the distance to the lowest polymorph of the same formula, the calculation gives 672 meV/atom. For the electronic total energy, the calculation gives -60.545 eV for the cell shown. The calculation puts the magnetization at 0.00 μB/cell. Its formation energy without anion corrections is 0.65 eV per atom.

No. 6
Material: CaLa6Pm2Tm
Method: DFT, GGA-PBE
State: optimized geometry

Unit cell a=9.1500 b=9.1500 c=9.8999 alpha=93.63 beta=93.63 gamma=117.52
Fractional positions:
Ca  0.0251  0.9749  0.7500
Ca  0.9749  0.0251  0.2500
La  0.0089  0.5519  0.6865
La  0.1248  0.7524  0.0512
La  0.2476  0.8752  0.4488
La  0.2930  0.5023  0.8816
La  0.4481  0.9911  0.8135
La  0.4977  0.7070  0.6184
La  0.5023  0.2930  0.3816
La  0.5519  0.0089  0.1865
La  0.7070  0.4977  0.1184
La  0.7524  0.1248  0.5512
La  0.8752  0.2476  0.9488
La  0.9911  0.4481  0.3135
Pm  0.1992  0.3028  0.5460
Pm  0.3028  0.1992  0.0460
Pm  0.6972  0.8008  0.9540
Pm  0.8008  0.6972  0.4540
Tm  0.4090  0.5910  0.2500
Tm  0.5910  0.4090  0.7500

Results
Its space-group type is C2/c. For the electronic total energy, the calculation gives -88.898 eV for the cell shown. The calculation puts the magnetization at 0.00 μB/cell.

No. 7
Material: CeHf2Ni
Method: DFT, GGA-PBE
State: optimized geometry

Unit cell a=3.2274 b=3.2274 c=7.8611 alpha=90.00 beta=90.00 gamma=90.00
Fractional positions:
Ce  0.0000  0.0000  0.0000
Hf  0.5000  0.5000  0.3046
Hf  0.5000  0.5000  0.6954
Ni  0.0000  0.0000  0.5000

Results
Its space-group type is P4/mmm. For the distance to the lowest polymorph of the same formula, the calculation gives 0 meV/atom. For the electronic total energy, the calculation gives -32.120 eV for the cell shown. The calculation puts the magnetization at 0.30 μB/cell.

No. 8
Material: BaHf3P4N12
Method: DFT, GGA-PBE
State: optimized geometry

Unit cell a=6.7892 b=6.7892 c=6.7892 alpha=103.95 beta=103.95 gamma=103.95
Fractional positions:
Ba  0.0000  0.0000  0.0000
Hf  0.0000  0.5585  0.4415
Hf  0.4415  0.0000  0.5585
Hf  0.5585  0.4415  0.0000
P  0.0593  0.5000  0.9407
P  0.5000  0.5000  0.5000
P  0.5000  0.9407  0.0593
P  0.9407  0.0593  0.5000
N  0.0300  0.6143  0.7664
N  0.0884  0.9116  0.5000
N  0.2336  0.3857  0.9700
N  0.3521  0.6479  0.5000
N  0.3857  0.9700  0.2336
N  0.5000  0.0884  0.9116
N  0.5000  0.3521  0.6479
N  0.6143  0.7664  0.0300
N  0.6479  0.5000  0.3521
N  0.7664  0.0300  0.6143
N  0.9116  0.5000  0.0884
N  0.9700  0.2336  0.3857

Results
Its space-group type is R32. For the electronic total energy, the calculation gives -167.442 eV for the cell shown. The calculation puts the magnetization at 0.63 μB/cell. Its formation energy without anion corrections is -0.71 eV per atom.

No. 9
Material: La4Pm2PrSm
Method: DFT, GGA-PBE
State: optimized geometry

Unit cell a=6.4160 b=3.7097 c=12.2091 alpha=90.00 beta=100.17 gamma=90.00
Fractional positions:
La  0.2493  0.0000  0.2513
La  0.2498  0.5000  0.7485
La  0.7502  0.5000  0.2515
La  0.7507  0.0000  0.7487
Pm  0.0000  0.0000  0.5000
Pm  0.0000  0.5000  0.0000
Pr  0.5000  0.0000  0.0000
Sm  0.5000  0.5000  0.5000

Results
Its space-group type is P2/m. For the electronic total energy, the calculation gives -38.614 eV for the cell shown. The calculation puts the magnetization at 0.00 μB/cell.

No. 10
Material: ScFeHg2
Method: DFT, GGA-PBE
State: optimized geometry

Unit cell a=4.2735 b=4.2735 c=4.2314 alpha=90.00 beta=90.00 gamma=90.00
Fractional positions:
Sc  0.0000  0.0000  0.0000
Fe  0.5000  0.5000  0.0000
Hg  0.0000  0.5000  0.5000
Hg  0.5000  0.0000  0.5000

Results
Its space-group type is P4/mmm. For the electronic total energy, the calculation gives -15.235 eV for the cell shown. The calculation puts the magnetization at 2.25 μB/cell.

No. 11
Material: RuRh2Cl
Method: DFT, GGA-PBE
State: optimized geometry

Unit cell a=3.7506 b=3.7506 c=4.2406 alpha=90.00 beta=90.00 gamma=90.00
Fractional positions:
Ru  0.0000  0.0000  0.0000
Rh  0.0000  0.5000  0.5000
Rh  0.5000  0.0000  0.5000
Cl  0.5000  0.5000  0.0000

Results
Its space-group type is P4/mmm. For the distance to the lowest polymorph of the same formula, the calculation gives 655 meV/atom. For the electronic total energy, the calculation gives -22.024 eV for the cell shown. The calculation puts the magnetization at 0.00 μB/cell. Its formation energy without anion corrections is 0.95 eV per atom.

No. 12
Material: RbScCuS3
Method: DFT, GGA-PBE
State: optimized geometry

Unit cell a=8.8414 b=3.7883 c=9.4293 alpha=90.00 beta=112.61 gamma=90.00
Fractional positions:
Rb  0.2152  0.2500  0.2424
Rb  0.7848  0.7500  0.7576
Sc  0.3295  0.7500  0.8619
Sc  0.6705  0.2500  0.1381
Cu  0.0829  0.2500  0.6070
Cu  0.9171  0.7500  0.3930
S  0.1288  0.2500  0.8622
S  0.1954  0.7500  0.5493
S  0.4760  0.7500  0.1539
S  0.5240  0.2500  0.8461
S  0.8046  0.2500  0.4507
S  0.8712  0.7500  0.1378

Results
Its space-group type is P2_1/m. For the electronic total energy, the calculation gives -61.965 eV for the cell shown. The calculation puts the magnetization at 0.00 μB/cell. Its formation energy without anion corrections is -1.20 eV per atom.